Density functional theory data (PBE) for Tb8Pr4Pu after structural relaxation.

Structure (CIF):
```
data_Tb8Pr4Pu
_chemical_formula_sum 'Tb24 Pr12 Pu3'
_cell_length_a 11.0728
_cell_length_b 11.0728
_cell_length_c 13.5004
_cell_angle_alpha 90.00
_cell_angle_beta 90.00
_cell_angle_gamma 120.00
_symmetry_space_group_name_H-M 'R -3 m'
_symmetry_Int_Tables_number 166
_symmetry_space_group_name_Hall '-R 3 2"'
loop_
_atom_site_label
_atom_site_fract_x
_atom_site_fract_y
_atom_site_fract_z
Tb1 0.0000 0.0000 0.2432
Tb2 0.0086 0.5043 0.7470
Pr1 0.0000 0.0000 0.0000
Pr2 0.0000 0.5000 0.0000
Pu1 0.0000 0.0000 0.5000
```

Calculated values
- E_tot (eV/atom) = -4.89



Density functional theory data (PBE) for Tb5Pr8Pu after structural relaxation.

Structure (CIF):
```
data_Tb5Pr8Pu
_chemical_formula_sum 'Tb10 Pr16 Pu2'
_cell_length_a 14.967
_cell_length_b 8.910
_cell_length_c 9.555
_cell_angle_alpha 90.00
_cell_angle_beta 129.55
_cell_angle_gamma 90.00
_symmetry_space_group_name_H-M 'C 1 2 1'
_symmetry_Int_Tables_number 5
loop_
_symmetry_equiv_pos_as_xyz
'x,y,z'
'-x,y,-z'
'x+1/2,y+1/2,z'
'-x+1/2,y+1/2,-z'
loop_
_atom_site_label
_atom_site_fract_x
_atom_site_fract_y
_atom_site_fract_z
Tb1 0.000 0.000 0.000
Tb2 0.041 0.669 0.861
Tb3 0.098 0.352 0.242
Pr1 0.033 0.027 0.702
Pr2 0.172 0.628 0.637
Pr3 0.198 0.355 0.965
Pr4 0.247 0.697 0.328
Pu1 0.000 0.351 0.500
```

Calculated values
- E_tot (eV/atom) = -5.20



Density functional theory data (PBE) for Tb3Pr6Pu after structural relaxation.

Structure (CIF):
```
data_Tb3Pr6Pu
_chemical_formula_sum 'Tb6 Pr12 Pu2'
_cell_length_a 5.714
_cell_length_b 10.180
_cell_length_c 12.296
_cell_angle_alpha 90.00
_cell_angle_beta 101.98
_cell_angle_gamma 90.00
_symmetry_space_group_name_H-M 'P 1 21/c 1'
_symmetry_Int_Tables_number 14
loop_
_symmetry_equiv_pos_as_xyz
'x,y,z'
'-x,-y,-z'
'-x,y+1/2,-z+1/2'
'x,-y+1/2,z+1/2'
loop_
_atom_site_label
_atom_site_fract_x
_atom_site_fract_y
_atom_site_fract_z
Tb1 0.000 0.000 0.000
Tb2 0.082 0.165 0.634
Pr1 0.081 0.670 0.149
Pr2 0.386 0.503 0.739
Pr3 0.497 0.689 0.499
Pu1 0.500 0.000 0.500
```

Calculated values
- E_tot (eV/atom) = -5.46



ΔH_f (0 K) for every record listed, in sequence, given in eV per formula unit: 6.970; 2.964; 2.269.
V for every record listed, in sequence, given in A^3/atom: 36.76; 35.09; 34.98.